[1]
Density functional theory data (PBE-GGA) for a geometry-optimized FeNi5Pd structure.

## Properties
Its space-group type is No. 123. The value obtained for the density of states at the Fermi level is 7.04 states/eV per cell. The value obtained for the calculated formation energy is 0.14 eV per atom.

Structure (POSCAR):
```
FeNi5Pd
1.0
3.490 0.000 0.000
0.000 3.490 0.000
0.000 0.000 7.299
Fe Ni Pd
1 5 1
Cartesian
0.000 0.000 0.000
0.000 1.745 1.767
0.000 1.745 5.532
1.745 0.000 1.767
1.745 0.000 5.532
1.745 1.745 0.000
1.745 1.745 3.650
```

[2]
Density functional theory data (PBE-GGA) for a geometry-optimized TlBiSb2 structure.

## Properties
Its space-group type is No. 225. The value obtained for the density of states at the Fermi level is 2.97 states/eV per cell. The uncorrected formation energy is 180.0 meV per atom.

Structure (POSCAR):
```
TlBiSb2
1.0
0.000 3.883 3.883
3.883 0.000 3.883
3.883 3.883 0.000
Tl Bi Sb
1 1 2
Cartesian
0.000 0.000 0.000
3.883 3.883 3.883
1.942 1.942 1.942
5.825 5.825 5.825
```

[3]
Density functional theory data (PBE-GGA) for a geometry-optimized HfZrAl3 structure.

## Properties
Its space-group type is No. 221. The value obtained for the density of states at the Fermi level is 4.59 states/eV per cell. The value obtained for the calculated formation energy is 0.88 eV per atom.

Structure (POSCAR):
```
HfZrAl3
1.0
4.975 0.000 0.000
0.000 4.975 0.000
0.000 0.000 4.975
Hf Zr Al
1 1 3
Cartesian
0.000 0.000 0.000
2.487 2.487 2.487
0.000 0.000 2.487
0.000 2.487 0.000
2.487 0.000 0.000
```

[4]
Density functional theory data (PBE-GGA) for a geometry-optimized CsNpGeBr6 structure.

## Properties
Its space-group type is No. 74. The value obtained for the density of states at the Fermi level is 12.62 states/eV per cell. The uncorrected formation energy is -1137.6 meV per atom.

Structure (POSCAR):
```
CsNpGeBr6
1.0
-5.164 5.310 7.427
5.164 -5.310 7.427
5.164 5.310 -7.427
Cs Np Ge Br
2 2 2 12
Cartesian
0.000 2.655 0.745
5.164 2.655 6.682
5.164 0.000 0.000
0.000 0.000 7.427
2.582 2.655 -3.714
2.582 -2.655 3.714
5.164 -2.655 4.598
2.957 -0.592 1.769
7.371 -0.592 1.769
2.957 4.719 -1.769
2.207 -0.592 5.659
5.164 2.655 1.199
0.000 2.655 6.228
2.957 5.902 1.769
2.207 0.592 9.196
-2.207 5.902 5.659
2.207 5.902 5.659
0.000 7.965 2.829
```

[5]
Density functional theory data (PBE-GGA) for a geometry-optimized AlMoHPd2 structure.

## Properties
Its space-group type is No. 123. For the calculated total energy, the calculation gives -5.235 eV/atom. The value obtained for the density of states at the Fermi level is 4.61 states/eV per cell.

Structure (POSCAR):
```
AlMoHPd2
1.0
4.918 0.000 0.000
0.000 4.918 0.000
0.000 0.000 2.915
Al Mo H Pd
1 1 1 2
Cartesian
0.000 0.000 0.000
2.459 2.459 1.458
0.000 0.000 1.458
0.000 2.459 0.000
2.459 0.000 0.000
```

[6]
Density functional theory data (PBE-GGA) for a geometry-optimized NiC2 structure.

## Properties
Its space-group type is No. 191. The value obtained for the density of states at the Fermi level is 3.64 states/eV per cell. The value obtained for the calculated formation energy is 0.42 eV per atom.

Structure (POSCAR):
```
NiC2
1.0
2.443 0.000 0.000
-1.221 2.116 0.000
0.000 0.000 7.384
Ni C
1 2
Cartesian
0.000 0.000 0.000
0.000 1.410 3.692
1.221 0.705 3.692
```

[7]
Density functional theory data (PBE-GGA) for a geometry-optimized TbHo3Th4S8 structure.

## Properties
Its space-group type is No. 166. The value obtained for the density of states at the Fermi level is 5.09 states/eV per cell. The uncorrected formation energy is -1911.4 meV per atom.

Structure (POSCAR):
```
TbHo3Th4S8
1.0
3.897 2.250 6.719
-3.897 2.250 6.719
0.000 -4.500 6.719
Tb Ho Th S
1 3 4 8
Cartesian
0.000 0.000 0.000
-1.949 -1.125 6.719
-1.949 1.125 13.438
0.000 2.250 6.719
-3.897 0.000 10.079
-1.949 1.125 3.360
1.949 1.125 3.360
0.000 0.000 10.079
0.000 -2.238 8.285
-1.938 1.119 8.285
0.000 0.000 5.162
-1.938 -1.119 11.873
1.938 1.119 8.285
0.000 0.000 14.996
1.938 -1.119 11.873
0.000 2.238 11.873
```

[8]
Density functional theory data (PBE-GGA) for a geometry-optimized MgTi2Cu2 structure.

## Properties
Its space-group type is No. 139. The value obtained for the density of states at the Fermi level is 4.61 states/eV per cell. The value obtained for the calculated formation energy is 0.14 eV per atom.

Structure (POSCAR):
```
MgTi2Cu2
1.0
-1.909 1.909 5.829
1.909 -1.909 5.829
1.909 1.909 -5.829
Mg Ti Cu
1 2 2
Cartesian
0.000 0.000 0.000
1.909 0.000 2.914
0.000 1.909 2.914
0.000 0.000 4.672
0.000 0.000 6.986
```

[9]
Density functional theory data (PBE-GGA) for a geometry-optimized RuRhW4 structure.

## Properties
Its space-group type is No. 216. The value obtained for the density of states at the Fermi level is 4.74 states/eV per cell. The value obtained for the calculated formation energy is 0.40 eV per atom.

Structure (POSCAR):
```
RuRhW4
1.0
0.000 3.664 3.664
3.664 0.000 3.664
3.664 3.664 0.000
Ru Rh W
1 1 4
Cartesian
0.000 0.000 0.000
1.832 1.832 1.832
4.579 2.749 2.749
2.749 4.579 2.749
2.749 2.749 4.579
4.579 4.579 4.579
```

[10]
Density functional theory data (PBE-GGA) for a geometry-optimized NdErZrSc structure.

## Properties
Its space-group type is No. 216. The value obtained for the density of states at the Fermi level is 7.90 states/eV per cell. The value obtained for the calculated formation energy is 0.19 eV per atom.

Structure (POSCAR):
```
NdErZrSc
1.0
0.000 3.808 3.808
3.808 0.000 3.808
3.808 3.808 0.000
Nd Er Zr Sc
1 1 1 1
Cartesian
0.000 0.000 0.000
5.713 5.713 5.713
3.808 3.808 3.808
1.904 1.904 1.904
```

[11]
Density functional theory data (PBE-GGA) for a geometry-optimized La3MgSi2Pd9 structure.

## Properties
Its space-group type is No. 164. The value obtained for the density of states at the Fermi level is 6.11 states/eV per cell. The uncorrected formation energy is -683.9 meV per atom.

Structure (POSCAR):
```
La3MgSi2Pd9
1.0
5.938 0.000 0.000
-2.969 5.142 0.000
0.000 0.000 10.555
La Mg Si Pd
3 1 2 9
Cartesian
0.000 0.000 0.000
0.000 3.428 7.316
2.969 1.714 3.239
0.000 0.000 5.278
0.000 3.428 1.671
2.969 1.714 8.884
-1.484 2.571 0.000
0.000 1.611 3.143
-1.574 4.337 3.143
1.395 0.805 7.412
2.969 0.000 0.000
1.484 2.571 0.000
1.574 4.337 3.143
4.543 0.805 7.412
2.969 3.532 7.412
```

[12]
Density functional theory data (PBE-GGA) for a geometry-optimized CsRb2CeF6 structure.

## Properties
Its space-group type is No. 14. The value obtained for the density of states at the Fermi level is 0.67 states/eV per cell. The uncorrected formation energy is -3250.1 meV per atom.

Structure (POSCAR):
```
CsRb2CeF6
1.0
6.856 0.000 0.000
0.000 7.208 0.000
-6.616 0.000 9.810
Cs Rb Ce F
2 4 2 12
Cartesian
0.000 0.000 0.000
-3.308 3.604 4.905
-3.318 0.295 7.171
-0.011 3.309 2.266
0.251 3.899 7.543
3.559 6.913 2.638
0.120 0.000 4.905
3.428 3.604 0.000
-1.858 1.132 4.581
-5.166 2.473 9.486
-0.965 5.375 3.967
-4.273 5.437 8.872
0.899 0.671 2.829
-2.409 2.933 7.733
2.649 4.275 2.076
-0.659 6.537 6.981
4.514 1.771 0.938
1.206 1.833 5.843
5.406 4.736 0.324
2.099 6.077 5.228
```

[13]
Density functional theory data (PBE-GGA) for a geometry-optimized ZrTlIr3 structure.

## Properties
Its space-group type is No. 221. The value obtained for the density of states at the Fermi level is 3.63 states/eV per cell. The value obtained for the calculated formation energy is 1.39 eV per atom.

Structure (POSCAR):
```
ZrTlIr3
1.0
4.922 0.000 0.000
0.000 4.922 0.000
0.000 0.000 4.922
Zr Tl Ir
1 1 3
Cartesian
0.000 0.000 0.000
2.461 2.461 2.461
0.000 0.000 2.461
0.000 2.461 0.000
2.461 0.000 0.000
```

[14]
Density functional theory data (PBE-GGA) for a geometry-optimized HfGa3W structure.

## Properties
Its space-group type is No. 221. The value obtained for the density of states at the Fermi level is 2.77 states/eV per cell. The value obtained for the calculated formation energy is 1.54 eV per atom.

Structure (POSCAR):
```
HfGa3W
1.0
5.004 0.000 0.000
0.000 5.004 0.000
0.000 0.000 5.004
Hf Ga W
1 3 1
Cartesian
0.000 0.000 0.000
0.000 0.000 2.502
0.000 2.502 0.000
2.502 0.000 0.000
2.502 2.502 2.502
```

[15]
Density functional theory data (PBE-GGA) for a geometry-optimized Ce3Si4Ni4 structure.

## Properties
Its space-group type is No. 71. The value obtained for the density of states at the Fermi level is 11.52 states/eV per cell. The uncorrected formation energy is -783.8 meV per atom.

Structure (POSCAR):
```
Ce3Si4Ni4
1.0
-1.997 2.024 11.716
1.997 -2.024 11.716
1.997 2.024 -11.716
Ce Si Ni
3 4 4
Cartesian
0.000 0.000 0.000
1.997 0.000 8.209
0.000 2.024 3.507
1.997 0.000 4.653
0.000 0.000 10.516
0.000 0.000 12.917
0.000 2.024 7.064
1.997 0.000 2.301
0.000 0.000 5.844
0.000 0.000 17.589
0.000 2.024 9.415
```

[16]
Density functional theory data (PBE-GGA) for a geometry-optimized Pu2Si3GePd4 structure.

## Properties
Its space-group type is No. 115. The value obtained for the density of states at the Fermi level is 27.33 states/eV per cell. The uncorrected formation energy is -651.1 meV per atom.

Structure (POSCAR):
```
Pu2Si3GePd4
1.0
4.253 0.000 0.000
0.000 4.253 0.000
0.000 0.000 9.956
Pu Si Ge Pd
2 3 1 4
Cartesian
0.000 2.127 2.453
2.127 0.000 7.503
0.000 0.000 0.000
0.000 2.127 6.258
2.127 0.000 3.698
2.127 2.127 0.000
0.000 0.000 4.978
0.000 2.127 8.653
2.127 0.000 1.303
2.127 2.127 4.978
```

[17]
Density functional theory data (PBE-GGA) for a geometry-optimized KVCrSe3 structure.

## Properties
Its space-group type is No. 11. The value obtained for the density of states at the Fermi level is 3.43 states/eV per cell. The uncorrected formation energy is -741.7 meV per atom.

Structure (POSCAR):
```
KVCrSe3
1.0
8.787 0.000 0.000
0.000 3.665 0.000
-3.942 0.000 8.795
K V Cr Se
2 2 2 6
Cartesian
1.018 0.916 2.179
3.827 2.748 6.616
-1.718 0.916 5.229
6.563 2.748 3.566
-0.463 2.748 7.452
5.307 0.916 1.342
-2.281 0.916 7.577
-0.057 2.748 4.833
3.580 2.748 1.184
1.265 0.916 7.611
4.901 0.916 3.962
7.125 2.748 1.218
```

[18]
Density functional theory data (PBE-GGA) for a geometry-optimized HfVSCl2 structure.

## Properties
Its space-group type is No. 123. The value obtained for the density of states at the Fermi level is 7.75 states/eV per cell. The uncorrected formation energy is -362.9 meV per atom.

Structure (POSCAR):
```
HfVSCl2
1.0
4.920 0.000 0.000
0.000 4.920 0.000
0.000 0.000 4.982
Hf V S Cl
1 1 1 2
Cartesian
0.000 0.000 0.000
2.460 2.460 2.491
0.000 0.000 2.491
0.000 2.460 0.000
2.460 0.000 0.000
```

[19]
Density functional theory data (PBE-GGA) for a geometry-optimized Rb2SrH6Ru structure.

## Properties
Its space-group type is No. 164. For the calculated total energy, the calculation gives -3.591 eV/atom.

Structure (POSCAR):
```
Rb2SrH6Ru
1.0
6.269 0.000 0.000
-3.134 5.429 0.000
0.000 0.000 5.934
Rb Sr H Ru
2 1 6 1
Cartesian
0.000 3.619 0.710
3.134 1.810 5.224
0.000 0.000 2.967
0.000 1.447 4.942
-1.881 4.705 4.942
1.253 0.724 0.992
1.881 4.705 4.942
5.016 0.724 0.992
3.134 3.982 0.992
0.000 0.000 0.000
```

[20]
Density functional theory data (PBE-GGA) for a geometry-optimized HfTcH4 structure.

## Properties
Its space-group type is No. 10. For the calculated total energy, the calculation gives -5.876 eV/atom. The value obtained for the density of states at the Fermi level is 0.52 states/eV per cell.

Structure (POSCAR):
```
HfTcH4
1.0
3.182 0.000 0.000
0.000 3.182 0.000
-0.013 0.000 4.519
Hf Tc H
1 1 4
Cartesian
0.000 0.000 0.000
1.585 1.591 2.259
-0.003 1.591 1.252
3.172 1.591 3.267
1.579 0.000 3.266
1.590 0.000 1.252
```